{"formula": "Mg3Os4", "functional": "GGA-PBE", "state": "optimized geometry", "lattice": [[-13.6755, -3.2395, 1.1398], [-12.5927, -3.9338, 4.9763], [12.7171, 5.5108, -2.5921]], "species": ["Mg", "Mg", "Mg", "Os", "Os", "Os", "Os"], "fractional_positions": [[0.0000, 0.0000, 0.0000], [0.2980, 0.2980, 0.0000], [0.7020, 0.7020, 0.0000], [0.1311, 0.1311, 0.0000], [0.4270, 0.4270, 0.0000], [0.5730, 0.5730, 0.0000], [0.8689, 0.8689, 0.0000]], "sg": "I4/mmm", "magnetic_moment_mub_per_cell": 0.00, "ef_mev_per_atom": 81}

=====

{"formula": "MgPOs2", "functional": "GGA-PBE", "state": "optimized geometry", "lattice": [[3.0500, 0.0000, 0.0000], [0.0000, 4.2053, 0.0000], [0.0000, 0.0000, 4.2053]], "species": ["Mg", "Os", "Os", "P"], "fractional_positions": [[0.5000, 0.0000, 0.5000], [0.0000, 0.0000, 0.0000], [0.0000, 0.5000, 0.5000], [0.5000, 0.5000, 0.0000]], "sg": "P4/mmm", "magnetic_moment_mub_per_cell": 0.00, "polymorph_energy_mev_per_atom": 137.1, "ef_mev_per_atom": 193}

=====

{"formula": "MgPOs", "functional": "GGA-PBE", "state": "optimized geometry", "lattice": [[5.5184, 0.0018, 0.0000], [3.8675, 3.9364, 0.0000], [-4.6929, -1.9691, 2.1335]], "species": ["Mg", "Os", "P"], "fractional_positions": [[0.9995, 0.9995, 0.0000], [0.3043, 0.3043, 0.0000], [0.6962, 0.6962, 0.0000]], "sg": "I4mm", "magnetic_moment_mub_per_cell": 0.00, "ef_mev_per_atom": -259}

=====

{"formula": "MgP2Os", "functional": "GGA-PBE", "state": "optimized geometry", "lattice": [[2.8096, -0.0016, 0.0000], [-1.1835, 2.5482, 0.0000], [0.0000, 0.0000, 9.3243]], "species": ["Mg", "Os", "P", "P"], "fractional_positions": [[0.0000, 0.0000, 0.5107], [0.5000, 0.5000, 0.7595], [0.0000, 0.0000, 0.9502], [0.5000, 0.5000, 0.2796]], "sg": "Cmm2", "magnetic_moment_mub_per_cell": 0.00, "ef_mev_per_atom": 343}

=====

{"formula": "MgPOs2", "functional": "GGA-PBE", "state": "optimized geometry", "lattice": [[2.8575, 0.0000, 0.0000], [0.0000, 2.8575, 0.0000], [0.0000, 0.0000, 7.4815]], "species": ["Mg", "Os", "Os", "P"], "fractional_positions": [[0.5000, 0.5000, 0.7609], [0.0000, 0.0000, 0.0194], [0.5000, 0.5000, 0.2661], [0.0000, 0.0000, 0.4536]], "sg": "P4mm", "magnetic_moment_mub_per_cell": 0.00, "polymorph_energy_mev_per_atom": 1.4, "ef_mev_per_atom": 57}

=====

{"formula": "MgP2Os", "functional": "GGA-PBE", "state": "optimized geometry", "lattice": [[-4.6882, 0.2076, 1.5259], [-3.3732, -1.6877, -3.1818], [4.2597, -1.6594, 1.8579]], "species": ["Mg", "Os", "P", "P"], "fractional_positions": [[0.5000, 0.5000, 0.0000], [0.7500, 0.2500, 0.5000], [0.0000, 0.0000, 0.0000], [0.2500, 0.7500, 0.5000]], "sg": "I-4m2", "magnetic_moment_mub_per_cell": 0.00, "ef_mev_per_atom": 281}